Density functional theory data (GGA-PBE) for a relaxed structure of Zr6Fe2Pt.

```
data_Zr6Fe2Pt
_cell_length_a 8.443
_cell_length_b 8.725
_cell_length_c 9.501
_cell_angle_alpha 90.00
_cell_angle_beta 90.00
_cell_angle_gamma 90.00
_space_group_name_H-M_alt 'I m m m'
_space_group_IT_number 71
_space_group_name_Hall '-I 2 2'
loop_
_atom_site_label
_atom_site_type_symbol
_atom_site_fract_x
_atom_site_fract_y
_atom_site_fract_z
Zr1 Zr 0.000 0.198 0.232
Zr2 Zr 0.198 0.500 0.169
Zr3 Zr 0.201 0.315 0.500
Fe1 Fe 0.000 0.338 0.000
Fe2 Fe 0.000 0.500 0.365
Pt1 Pt 0.000 0.000 0.000
Pt2 Pt 0.000 0.000 0.500
```

---

Density functional theory data (GGA-PBE) for a relaxed structure of ZrFePt.

```
data_ZrFePt
_cell_length_a 4.4520
_cell_length_b 4.4520
_cell_length_c 2.9228
_cell_angle_alpha 90.00
_cell_angle_beta 90.00
_cell_angle_gamma 120.00
_space_group_name_H-M_alt 'P -6 m 2'
_space_group_IT_number 187
_space_group_name_Hall 'P -6 2'
loop_
_atom_site_label
_atom_site_type_symbol
_atom_site_fract_x
_atom_site_fract_y
_atom_site_fract_z
Zr1 Zr 0.0000 0.0000 0.0000
Fe1 Fe 0.6667 0.3333 0.5000
Pt1 Pt 0.3333 0.6667 0.5000
```

---

Density functional theory data (GGA-PBE) for a relaxed structure of Zr2FePt.

```
data_Zr2FePt
_cell_length_a 4.199
_cell_length_b 3.450
_cell_length_c 10.019
_cell_angle_alpha 90.00
_cell_angle_beta 90.00
_cell_angle_gamma 90.00
_space_group_name_H-M_alt 'A m m 2'
_space_group_IT_number 38
loop_
_space_group_symop_operation_xyz
'x,y,z'
'-x,-y,z'
'-x,y,z'
'x,-y,z'
'x,y+1/2,z+1/2'
'-x,-y+1/2,z+1/2'
'-x,y+1/2,z+1/2'
'x,-y+1/2,z+1/2'
loop_
_atom_site_label
_atom_site_type_symbol
_atom_site_fract_x
_atom_site_fract_y
_atom_site_fract_z
Zr1 Zr 0.000 0.000 0.000
Zr2 Zr 0.500 0.000 0.294
Fe1 Fe 0.500 0.000 0.551
Pt1 Pt 0.000 0.000 0.722
```

Output
**Relative energy among the computed polymorphs**: 1.18 kJ per mole of atoms

---

Density functional theory data (GGA-PBE) for a relaxed structure of ZrFe3Pt.

```
data_ZrFe3Pt
_cell_length_a 4.473
_cell_length_b 4.473
_cell_length_c 4.473
_cell_angle_alpha 90.00
_cell_angle_beta 90.00
_cell_angle_gamma 90.00
_space_group_name_H-M_alt 'P m -3 m'
_space_group_IT_number 221
_space_group_name_Hall '-P 4 2 3'
loop_
_atom_site_label
_atom_site_type_symbol
_atom_site_fract_x
_atom_site_fract_y
_atom_site_fract_z
Zr1 Zr 0.000 0.000 0.000
Fe1 Fe 0.000 0.000 0.500
Pt1 Pt 0.500 0.500 0.500
```

Output
**Relative energy among the computed polymorphs**: 63.01 kJ per mole of atoms

---

Density functional theory data (GGA-PBE) for a relaxed structure of ZrFePt2.

```
data_ZrFePt2
_cell_length_a 3.943
_cell_length_b 3.943
_cell_length_c 18.075
_cell_angle_alpha 90.00
_cell_angle_beta 90.00
_cell_angle_gamma 90.00
_space_group_name_H-M_alt 'I -4 2 d'
_space_group_IT_number 122
_space_group_name_Hall 'I -4 2bw'
loop_
_atom_site_label
_atom_site_type_symbol
_atom_site_fract_x
_atom_site_fract_y
_atom_site_fract_z
Zr1 Zr 0.000 0.000 0.000
Fe1 Fe 0.000 0.000 0.500
Pt1 Pt 0.232 0.250 0.625
```

---

Density functional theory data (GGA-PBE) for a relaxed structure of ZrFePt.

```
data_ZrFePt
_cell_length_a 2.9497
_cell_length_b 2.9497
_cell_length_c 6.7281
_cell_angle_alpha 90.00
_cell_angle_beta 90.00
_cell_angle_gamma 120.00
_space_group_name_H-M_alt 'P 3 m 1'
_space_group_IT_number 156
loop_
_space_group_symop_operation_xyz
'x,y,z'
'-y,x-y,z'
'-x+y,-x,z'
'-y,-x,z'
'-x+y,y,z'
'x,x-y,z'
loop_
_atom_site_label
_atom_site_type_symbol
_atom_site_fract_x
_atom_site_fract_y
_atom_site_fract_z
Zr1 Zr 0.0000 0.0000 0.0000
Fe1 Fe 0.6667 0.3333 0.3407
Pt1 Pt 0.3333 0.6667 0.6469
```

---

Listing formation energy from the elements for the structures above in their given order: -324, -362, -552, 1518, -200, -75 meV/atom.